Entry 1:
The following is a PBE calculation of an optimized crystal structure of Co5Au, from Alexandria.

Calculated values
- density (Mg/m³) = 11.20
- excess energy over the best structure of this formula in the dataset (eV/atom) = 0.0000

Cell lengths 4.5154, 4.5154, 4.1287 Å; angles 90.00, 90.00, 120.00 degrees
Closest atoms and distances in Å follow each position.
Space group P-62m (No. 189)
Unique sites:
Co (0.0000, 0.6410, 0.0000) x3  10 Co 2.51-2.81, 2 Au 2.62
Co (0.3333, 0.6667, 0.5000) x2  9 Co 2.52-2.61, 3 Au 2.61
Au (0.0000, 0.0000, 0.5000) x1  12 Co 2.61-2.62

***

Entry 2:
The following is a PBE calculation of an optimized crystal structure of CoAu4, from Alexandria.

Calculated values
- density (Mg/m³) = 16.64
- excess energy over the best structure of this formula in the dataset (eV/atom) = 0.0000

Cell lengths 2.9167, 2.9167, 34.4039 Å; angles 90.00, 90.00, 120.00 degrees
Closest atoms and distances in Å follow each position.
Space group R-3m (No. 166, hexagonal axes)
Unique sites:
Co (0.0000, 0.0000, 0.0000) x3  6 Au 2.67, 6 Co 2.92
Au (0.0000, 0.0000, 0.2021) x6  12 Au 2.92-2.96
Au (0.0000, 0.0000, 0.3937) x6  3 Co 2.67, 9 Au 2.92-2.96

***

Entry 3:
The following is a PBE calculation of an optimized crystal structure of Co2Au, from Alexandria.

Calculated values
- density (Mg/m³) = 12.13
- total DFT energy (no corrections) (eV/atom) = -5.455

Cell lengths 2.7275, 4.1027, 15.4110 Å; angles 90.00, 90.00, 90.00 degrees
Closest atoms and distances in Å follow each position.
Space group Imma (No. 74)
Unique sites:
Co (0.0000, 0.2500, 0.0374) x4  3 Co 2.35
Co (0.0000, 0.2500, 0.1901) x4  3 Co 2.29-2.35
Au (0.0000, 0.2500, 0.6220) x4  10 Co 2.68-2.81, 2 Au 2.73

***

Entry 4:
The following is a PBE calculation of an optimized crystal structure of CoAu, from Alexandria.

Calculated values
- density (Mg/m³) = 12.79
- total DFT energy (no corrections) (eV/atom) = -4.592

Cell lengths 5.0614, 5.0614, 5.1884 Å; angles 90.00, 90.00, 90.00 degrees
Closest atoms and distances in Å follow each position.
Space group P4_2/mnm (No. 136)
Unique sites:
Co (0.1685, 0.1685, 0.0000) x4  1 Co 2.41, 4 Au 2.55-2.60
Au (0.1868, 0.1868, 0.5000) x4  6 Co 2.55-2.72, 1 Au 2.67